TlCd4Rh (GGA-PBE, optimized geometry); E = -1.991 eV per atom; E_form = 0.238 eV per atom
1.0
0.0000 4.0208 4.0208
4.0208 0.0000 4.0208
4.0208 4.0208 0.0000
Tl Cd Rh
1 4 1
Direct
0.0000 0.0000 0.0000
0.1278 0.6241 0.6241
0.6241 0.1278 0.6241
0.6241 0.6241 0.1278
0.6241 0.6241 0.6241
0.2500 0.2500 0.2500

Hf3TaTi4N8 (GGA-PBE, optimized geometry); energy relative to the elements, uncorrected = -25.9 eV/f.u.; E = -10.361 eV per atom
1.0
3.1165 1.7993 5.0398
-3.1165 1.7993 5.0398
0.0000 -3.5986 5.0398
Hf Ta Ti N
3 1 4 8
Direct
0.0000 0.5000 0.5000
0.5000 0.0000 0.5000
0.5000 0.5000 0.0000
0.0000 0.0000 0.0000
0.0000 0.0000 0.5000
0.0000 0.5000 0.0000
0.5000 0.0000 0.0000
0.5000 0.5000 0.5000
0.2458 0.7486 0.7486
0.2476 0.2476 0.2476
0.2514 0.2514 0.7542
0.2514 0.7542 0.2514
0.7486 0.2458 0.7486
0.7486 0.7486 0.2458
0.7524 0.7524 0.7524
0.7542 0.2514 0.2514

Zr2Fe2S (GGA-PBE, optimized geometry); energy relative to the elements, uncorrected = -1.9 eV/f.u.; relative energy among the computed polymorphs = 0.00 kJ per mole of atoms; E = -8.003 eV per atom
1.0
-1.6474 1.6474 7.6291
1.6474 -1.6474 7.6291
1.6474 1.6474 -7.6291
Zr Fe S
2 2 1
Direct
0.1075 0.1075 0.0000
0.8925 0.8925 0.0000
0.2500 0.7500 0.5000
0.7500 0.2500 0.5000
0.5000 0.5000 0.0000

Pr2ThPt (GGA-PBE, optimized geometry); relative energy among the computed polymorphs = 0.00 kJ per mole of atoms; E = -6.202 eV per atom; E_form = -0.447 eV per atom
1.0
3.6842 0.0000 0.0000
0.0000 3.6842 0.0000
0.0000 0.0000 8.4829
Pr Th Pt
2 1 1
Direct
0.0000 0.0000 0.2051
0.0000 0.0000 0.7949
0.5000 0.5000 0.5000
0.5000 0.5000 0.0000

NaAg3Sb (GGA-PBE, optimized geometry); energy relative to the elements, uncorrected = 3.5 eV/f.u.; relative energy among the computed polymorphs = 57.78 kJ per mole of atoms; E = -2.090 eV per atom
1.0
4.9443 0.0000 0.0000
0.0000 4.9443 0.0000
0.0000 0.0000 4.9443
Na Ag Sb
1 3 1
Direct
0.0000 0.0000 0.0000
0.0000 0.0000 0.5000
0.0000 0.5000 0.0000
0.5000 0.0000 0.0000
0.5000 0.5000 0.5000

Tb4Ge2Br3 (GGA-PBE, optimized geometry); energy relative to the elements, uncorrected = -11.7 eV/f.u.; E = -4.941 eV per atom
1.0
3.6141 -2.0866 0.0000
3.6141 2.0866 0.0000
-0.1897 0.0000 17.5480
Tb Ge Br
4 2 3
Direct
0.0084 0.0084 0.2920
0.3371 0.3371 0.1160
0.6629 0.6629 0.8840
0.9916 0.9916 0.7080
0.3274 0.3274 0.7998
0.6726 0.6726 0.2002
0.0000 0.0000 0.0000
0.3441 0.3441 0.3921
0.6559 0.6559 0.6079

BaAu2Br8 (GGA-PBE, optimized geometry); energy relative to the elements, uncorrected = -7.4 eV/f.u.; E = -2.661 eV per atom
1.0
-3.8331 3.8331 6.7581
3.8331 -3.8331 6.7581
3.8331 3.8331 -6.7581
Ba Au Br
1 2 8
Direct
0.0000 0.0000 0.0000
0.2500 0.7500 0.5000
0.7500 0.2500 0.5000
0.0516 0.5327 0.8288
0.2228 0.0516 0.5189
0.2961 0.4673 0.5189
0.4673 0.9484 0.1712
0.5327 0.7039 0.4811
0.7039 0.2228 0.1712
0.7772 0.2961 0.8288
0.9484 0.7772 0.4811

La2PrMg4 (GGA-PBE, optimized geometry); E = -2.947 eV per atom; E_form = 0.055 eV per atom
1.0
2.7405 1.5823 8.0216
-2.7405 1.5823 8.0216
0.0000 -3.1645 8.0216
La Pr Mg
2 1 4
Direct
0.2161 0.2161 0.2161
0.7839 0.7839 0.7839
0.5000 0.5000 0.5000
0.0670 0.0670 0.0670
0.3623 0.3623 0.3623
0.6377 0.6377 0.6377
0.9330 0.9330 0.9330

> Number 1 is which compound?

TlCd4Rh

> Which formula does entry 6 have?

Tb4Ge2Br3